No. 1
# Be2TcPb

A relaxed Be2TcPb crystal (GGA-PBE, the Alexandria database).

Cell lengths 4.9603, 4.9603, 4.9603 Å; angles 139.77, 133.74, 62.94 degrees
With the nearest neighbours (Å) after each atom.
Fractional positions:
Tc  0.7656  0.2656  0.5000  6 Be 2.56-2.60, 4 Pb 2.79-2.81
Be  0.2414  0.7414  0.5000  4 Tc 2.60, 4 Be 2.72-2.87, 4 Pb 2.79-2.81
Be  0.9911  0.9911  0.0000  2 Tc 2.56, 4 Pb 2.59, 2 Be 2.72
Pb  0.5019  0.5019  0.0000  8 Be 2.59-2.81, 4 Tc 2.79-2.81

Summary:
* space-group type: Imm2, No. 44
* ΔE_f: 1.61 eV/f.u.
* magnetization: 0.0 μB per cell
* calculated volume: 14.06 Å³/atom

No. 2
# TlAgPd6

A relaxed TlAgPd6 crystal (GGA-PBE, the Alexandria database).

Cell lengths 6.9872, 7.6240, 5.1772 Å; angles 42.51, 47.69, 57.04 degrees
With the nearest neighbours (Å) after each atom.
Fractional positions:
Pd  0.0470  0.5411  0.1610  4 Pd 2.66-2.77, 1 Ag 2.78, 1 Tl 2.80
Pd  0.7487  0.9543  0.7562  4 Pd 2.66-2.77, 1 Ag 2.78, 1 Tl 2.82
Pd  0.9530  0.4589  0.8390  4 Pd 2.66-2.77, 1 Ag 2.78, 1 Tl 2.80
Pd  0.4585  0.2509  0.3366  4 Pd 2.66-2.76, 1 Ag 2.78, 1 Tl 2.81
Pd  0.5415  0.7491  0.6634  4 Pd 2.66-2.76, 1 Ag 2.78, 1 Tl 2.81
Pd  0.2513  0.0457  0.2438  4 Pd 2.66-2.77, 1 Ag 2.78, 1 Tl 2.82
Tl  0.0000  0.0000  0.0000  12 Pd 2.80-3.03
Ag  0.5000  0.5000  0.5000  12 Pd 2.78-3.04

Summary:
* space-group type: P-1, No. 2
* ΔE_f: -0.01 eV/f.u.
* magnetization: 0.0 μB per cell
* calculated volume: 17.15 Å³/atom
* energy above the most stable polymorph in this dataset: 82 meV/atom

No. 3
# Zn2HgTe

A relaxed Zn2HgTe crystal (GGA-PBE, the Alexandria database).

Cell lengths 6.9643, 6.9821, 6.9821 Å; angles 147.42, 147.39, 46.80 degrees
With the nearest neighbours (Å) after each atom.
Fractional positions:
Zn  0.0264  0.2816  0.7449  4 Te 2.81, 1 Hg 2.84
Zn  0.7252  0.9705  0.7547  4 Hg 2.80, 1 Te 2.89
Hg  0.2593  0.5033  0.7560  5 Zn 2.80-2.84, 1 Te 3.09
Te  0.4890  0.7447  0.7443  5 Zn 2.81-2.89, 1 Hg 3.09

Summary:
* formation energy (no corrections): 0.01 eV/f.u.
* space-group type: Cm, No. 8
* magnetization: 0.0 μB per cell
* calculated volume: 24.54 Å³/atom
* energy above the most stable polymorph in this dataset: 25 meV/atom

No. 4
# TaCd

A relaxed TaCd crystal (GGA-PBE, the Alexandria database).

Cell lengths 8.8754, 8.8754, 8.8754 Å; angles 90.00, 90.00, 90.00 degrees
With the nearest neighbours (Å) after each atom.
Fractional positions:
Cd  0.2976  0.2976  0.7024  4 Ta 2.97-2.99
Cd  0.7976  0.7976  0.2024  4 Ta 2.97-2.99
Cd  0.2024  0.7976  0.7976  4 Ta 2.97-2.99
Cd  0.7976  0.2024  0.7976  4 Ta 2.97-2.99
Cd  0.2024  0.2024  0.2024  4 Ta 2.97-2.99
Cd  0.2976  0.7024  0.2976  4 Ta 2.97-2.99
Cd  0.7024  0.2976  0.2976  4 Ta 2.97-2.99
Cd  0.7024  0.7024  0.7024  4 Ta 2.97-2.99
Ta  0.8956  0.1044  0.1044  3 Ta 2.62
Ta  0.6044  0.3956  0.6044  3 Ta 2.62
Ta  0.6044  0.6044  0.3956  3 Ta 2.62
Ta  0.1044  0.1044  0.8956  3 Ta 2.62
Ta  0.3956  0.6044  0.6044  3 Ta 2.62
Ta  0.1044  0.8956  0.1044  3 Ta 2.62
Ta  0.8956  0.8956  0.8956  3 Ta 2.62
Ta  0.3956  0.3956  0.3956  3 Ta 2.62

Summary:
* space-group type: I-43m, No. 217
* ΔE_f: 2.69 eV/f.u.
* magnetization: 0.0 μB per cell
* calculated volume: 43.70 Å³/atom

No. 5
# Ti5Hg3

A relaxed Ti5Hg3 crystal (GGA-PBE, the Alexandria database).

Cell lengths 2.9510, 2.9510, 16.9842 Å; angles 90.00, 90.00, 90.00 degrees
With the nearest neighbours (Å) after each atom.
Fractional positions:
Ti  0.0000  0.0000  0.7447  8 Ti 2.82-2.95, 4 Hg 3.05
Ti  0.5000  0.5000  0.6327  8 Ti 2.82-2.95, 4 Hg 3.07
Ti  0.5000  0.5000  0.3673  8 Ti 2.82-2.95, 4 Hg 3.07
Ti  0.0000  0.0000  0.2553  8 Ti 2.82-2.95, 4 Hg 3.05
Ti  0.0000  0.0000  0.0000  4 Ti 2.95, 8 Hg 2.97
Hg  0.5000  0.5000  0.8757  4 Hg 2.95, 8 Ti 2.97-3.05
Hg  0.0000  0.0000  0.5000  4 Hg 2.95, 8 Ti 3.07
Hg  0.5000  0.5000  0.1243  4 Hg 2.95, 8 Ti 2.97-3.05

Summary:
* space-group type: P4/mmm, No. 123
* ΔE_f: -0.42 eV/f.u.
* magnetization: 0.0 μB per cell
* calculated volume: 18.49 Å³/atom

No. 6
# Pm3Dy3Y2

A relaxed Pm3Dy3Y2 crystal (GGA-PBE, the Alexandria database).

Cell lengths 6.1984, 7.1784, 14.3725 Å; angles 90.00, 90.00, 125.14 degrees
With the nearest neighbours (Å) after each atom.
Fractional positions:
Dy  0.4999  0.2500  0.7500  6 Pm 3.58-3.59, 2 Dy 3.59, 4 Y 3.60
Dy  0.5000  0.2499  0.5003  4 Y 3.58-3.59, 5 Pm 3.58-3.60, 3 Dy 3.59
Dy  0.5000  0.7501  0.0003  4 Y 3.58-3.59, 5 Pm 3.58-3.60, 3 Dy 3.59
Dy  0.5000  0.7501  0.4997  4 Y 3.58-3.59, 5 Pm 3.58-3.60, 3 Dy 3.59
Dy  0.5000  0.2499  0.9997  4 Y 3.58-3.59, 5 Pm 3.58-3.60, 3 Dy 3.59
Dy  0.5001  0.7500  0.2500  6 Pm 3.58-3.59, 2 Dy 3.59, 4 Y 3.60
Pm  0.9998  0.2498  0.6251  6 Dy 3.58-3.60, 3 Y 3.58-3.59, 3 Pm 3.59
Pm  0.9998  0.2498  0.8749  6 Dy 3.58-3.60, 3 Y 3.58-3.59, 3 Pm 3.59
Pm  0.5005  0.2501  0.2500  4 Y 3.59, 4 Dy 3.59-3.60, 4 Pm 3.59
Pm  0.0002  0.7502  0.1251  6 Dy 3.58-3.60, 3 Y 3.58-3.59, 3 Pm 3.59
Pm  0.0002  0.7502  0.3749  6 Dy 3.58-3.60, 3 Y 3.58-3.59, 3 Pm 3.59
Pm  0.4995  0.7499  0.7500  4 Y 3.59, 4 Dy 3.59-3.60, 4 Pm 3.59
Y  0.9998  0.7500  0.6242  6 Dy 3.58-3.60, 5 Pm 3.58-3.59, 1 Y 3.62
Y  0.0002  0.2500  0.1242  6 Dy 3.58-3.60, 5 Pm 3.58-3.59, 1 Y 3.62
Y  0.0002  0.2500  0.3758  6 Dy 3.58-3.60, 5 Pm 3.58-3.59, 1 Y 3.62
Y  0.9998  0.7500  0.8758  6 Dy 3.58-3.60, 5 Pm 3.58-3.59, 1 Y 3.62

Summary:
* space-group type: C2/m, No. 12
* ΔE_f: 0.12 eV/f.u.
* magnetization: 0.0 μB per cell
* calculated volume: 32.68 Å³/atom
* energy above the most stable polymorph in this dataset: 0 meV/atom

No. 7
# LiBiSe2Br

A relaxed LiBiSe2Br crystal (GGA-PBE, the Alexandria database).

Cell lengths 5.5035, 5.5035, 5.8336 Å; angles 90.00, 90.00, 90.00 degrees
With the nearest neighbours (Å) after each atom.
Fractional positions:
Se  0.5000  0.0000  0.0000  2 Bi 2.75
Se  0.0000  0.5000  0.0000  2 Bi 2.75
Br  0.0000  0.0000  0.5000  2 Bi 2.92
Bi  0.0000  0.0000  0.0000  4 Se 2.75, 2 Br 2.92
Li  0.5000  0.5000  0.5000  4 Br 3.89, 8 Se 4.01

Summary:
* formation energy (no corrections): -1.01 eV/f.u.
* space-group type: P4/mmm, No. 123
* magnetization: 0.0 μB per cell
* calculated volume: 35.34 Å³/atom
* energy above the most stable polymorph in this dataset: 0 meV/atom

No. 8
# TaTcC

A relaxed TaTcC crystal (GGA-PBE, the Alexandria database).

Cell lengths 3.0307, 5.1047, 5.1047 Å; angles 93.93, 90.00, 90.00 degrees
With the nearest neighbours (Å) after each atom.
Fractional positions:
C  0.5000  0.5000  0.5000  4 Tc 2.06, 2 Ta 2.18
C  0.0000  0.0000  0.0000  2 Tc 2.08, 4 Ta 2.17
Ta  0.5000  0.7917  0.2083  3 C 2.17-2.18
Ta  0.5000  0.2083  0.7917  3 C 2.17-2.18
Tc  0.0000  0.7013  0.7013  3 C 2.06-2.08
Tc  0.0000  0.2987  0.2987  3 C 2.06-2.08

Summary:
* space-group type: Cmmm, No. 65
* ΔE_f: -0.63 eV/f.u.
* magnetization: 0.0 μB per cell
* calculated volume: 13.13 Å³/atom

No. 9
# Cd2GaAg2

A relaxed Cd2GaAg2 crystal (GGA-PBE, the Alexandria database).

Cell lengths 3.9943, 3.9943, 7.5149 Å; angles 74.59, 74.59, 90.00 degrees
With the nearest neighbours (Å) after each atom.
Fractional positions:
Ga  0.0000  0.0000  0.0000  8 Ag 3.13
Ag  0.5971  0.5971  0.8059  1 Ag 2.70, 4 Cd 2.92
Ag  0.4029  0.4029  0.1941  1 Ag 2.70, 4 Cd 2.92
Cd  0.7500  0.2500  0.5000  4 Cd 2.82, 4 Ag 2.92
Cd  0.2500  0.7500  0.5000  4 Cd 2.82, 4 Ag 2.92

Summary:
* space-group type: I4/mmm, No. 139
* ΔE_f: 0.86 eV/f.u.
* magnetization: 0.0 μB per cell
* calculated volume: 22.22 Å³/atom
* energy above the most stable polymorph in this dataset: 161 meV/atom

No. 10
# UBeIr2

A relaxed UBeIr2 crystal (GGA-PBE, the Alexandria database).

Cell lengths 2.9369, 2.9369, 6.8434 Å; angles 90.00, 90.00, 90.00 degrees
With the nearest neighbours (Å) after each atom.
Fractional positions:
U  0.5000  0.5000  0.5000  8 Ir 2.91, 4 U 2.94
Ir  0.0000  0.0000  0.2022  4 Be 2.50, 1 Ir 2.77
Ir  0.0000  0.0000  0.7978  4 Be 2.50, 1 Ir 2.77
Be  0.5000  0.5000  0.0000  8 Ir 2.50

Summary:
* space-group type: P4/mmm, No. 123
* ΔE_f: -2.00 eV/f.u.
* magnetization: 0.0 μB per cell
* calculated volume: 14.76 Å³/atom
* energy above the most stable polymorph in this dataset: 0 meV/atom

No. 11
# SiRuPt2

A relaxed SiRuPt2 crystal (GGA-PBE, the Alexandria database).

Cell lengths 5.2245, 5.2245, 4.2650 Å; angles 65.92, 65.92, 33.71 degrees
With the nearest neighbours (Å) after each atom.
Fractional positions:
Pt  0.5399  0.5399  0.4602  2 Si 2.43, 4 Pt 2.71
Pt  0.9601  0.9601  0.0398  2 Si 2.43, 4 Pt 2.71
Si  0.2500  0.2500  0.2500  4 Pt 2.43, 4 Ru 2.62
Ru  0.7500  0.7500  0.7500  4 Si 2.62, 4 Pt 2.86

Summary:
* formation energy (no corrections): -1.05 eV/f.u.
* space-group type: Immm, No. 71
* magnetization: 0.0 μB per cell
* calculated volume: 14.61 Å³/atom

No. 12
# CeNbSn2

A relaxed CeNbSn2 crystal (GGA-PBE, the Alexandria database).

Cell lengths 3.1732, 3.1732, 11.4472 Å; angles 82.03, 82.03, 60.00 degrees
With the nearest neighbours (Å) after each atom.
Fractional positions:
Ce  0.0000  0.0000  0.0000  6 Ce 3.17, 2 Sn 3.25
Sn  0.0960  0.0960  0.7121  3 Nb 3.02, 6 Sn 3.17, 1 Ce 3.25
Sn  0.9040  0.9040  0.2879  3 Nb 3.02, 6 Sn 3.17, 1 Ce 3.25
Nb  0.5000  0.5000  0.5000  6 Sn 3.02, 6 Nb 3.17

Summary:
* space-group type: R-3m, No. 166
* ΔE_f: 0.33 eV/f.u.
* magnetization: 0.9 μB per cell
* calculated volume: 24.63 Å³/atom

- Which of these has the highest magnetization?
  CeNbSn2

What did the eleventh record say?
# SiRuPt2

A relaxed SiRuPt2 crystal (GGA-PBE, the Alexandria database).

Cell lengths 5.2245, 5.2245, 4.2650 Å; angles 65.92, 65.92, 33.71 degrees
With the nearest neighbours (Å) after each atom.
Fractional positions:
Pt  0.5399  0.5399  0.4602  2 Si 2.43, 4 Pt 2.71
Pt  0.9601  0.9601  0.0398  2 Si 2.43, 4 Pt 2.71
Si  0.2500  0.2500  0.2500  4 Pt 2.43, 4 Ru 2.62
Ru  0.7500  0.7500  0.7500  4 Si 2.62, 4 Pt 2.86

Summary:
* formation energy (no corrections): -1.05 eV/f.u.
* space-group type: Immm, No. 71
* magnetization: 0.0 μB per cell
* calculated volume: 14.61 Å³/atom